Computed, not measured: a relaxed Ac2CdGa3Pd4 crystal at the PBE level of DFT.

extended XYZ file:
```
10
Lattice="4.4265 0.0000 0.0000 0.0000 4.4265 0.0000 0.0000 0.0000 10.9962" Properties=species:S:1:pos:R:3 pbc="T T T"
Ac 2.2132 0.0000 2.6728
Ac 0.0000 2.2132 8.3234
Cd 2.2132 2.2132 5.4981
Ga 0.0000 0.0000 5.4981
Ga 2.2132 0.0000 9.7104
Ga 0.0000 2.2132 1.2858
Pd 2.2132 2.2132 0.0000
Pd 0.0000 0.0000 0.0000
Pd 2.2132 0.0000 7.1418
Pd 0.0000 2.2132 3.8544
```

Output
ΔH_f (0 K)   -0.75 eV per atom
Space group   P-4m2
Spin magnetization   0.00 μB per formula unit
Calculated density   9.3 g/cm3